The following is a DFT calculation (GGA-PBE) of a relaxed Sr5Zn4Ga crystal.

Formation enthalpy at 0 K (eV/atom): -0.218
V (Å³/f.u.): 298

a = 3.906 Å, b = 3.906 Å, c = 19.527 Å
α = 90.00°, β = 90.00°, γ = 90.00°
Positions (direct):
Sr: 0.000 0.000 0.000
Sr: 0.000 0.000 0.201
Sr: 0.000 0.000 0.402
Sr: 0.000 0.000 0.598
Sr: 0.000 0.000 0.799
Zn: 0.500 0.500 0.100
Zn: 0.500 0.500 0.302
Zn: 0.500 0.500 0.698
Zn: 0.500 0.500 0.900
Ga: 0.500 0.500 0.500

The following is a DFT calculation (GGA-PBE) of a relaxed CuGe2Pt7 crystal.

Formation enthalpy at 0 K (eV/atom): -0.273
V (Å³/f.u.): 163

a = 10.699 Å, b = 10.699 Å, c = 10.699 Å
α = 158.61°, β = 158.61°, γ = 30.42°
Positions (direct):
Cu: 0.000 0.000 0.000
Ge: 0.328 0.328 0.000
Ge: 0.672 0.672 0.000
Pt: 0.095 0.595 0.500
Pt: 0.250 0.750 0.500
Pt: 0.405 0.905 0.500
Pt: 0.500 0.500 0.000
Pt: 0.595 0.095 0.500
Pt: 0.750 0.250 0.500
Pt: 0.905 0.405 0.500

The following is a DFT calculation (GGA-PBE) of a relaxed CaHgSb crystal.

Energy relative to the elements, uncorrected (meV per atom): -444
V (Å³/f.u.): 92

a = 7.155 Å, b = 7.155 Å, c = 7.155 Å
α = 90.00°, β = 90.00°, γ = 90.00°
Positions (direct):
Ca: 0.000 0.000 0.000
Ca: 0.000 0.500 0.500
Ca: 0.500 0.000 0.500
Ca: 0.500 0.500 0.000
Hg: 0.250 0.250 0.250
Hg: 0.250 0.750 0.750
Hg: 0.750 0.250 0.750
Hg: 0.750 0.750 0.250
Sb: 0.000 0.000 0.500
Sb: 0.000 0.500 0.000
Sb: 0.500 0.000 0.000
Sb: 0.500 0.500 0.500

The following is a DFT calculation (GGA-PBE) of a relaxed KBa2Pr crystal.

Formation enthalpy at 0 K (eV/atom): 0.159
V (Å³/f.u.): 221

a = 4.129 Å, b = 4.129 Å, c = 12.968 Å
α = 90.00°, β = 90.00°, γ = 90.00°
Positions (direct):
K: 0.000 0.000 0.000
Ba: 0.500 0.500 0.285
Ba: 0.500 0.500 0.715
Pr: 0.000 0.000 0.500